Record 1
A relaxed structure of K4ScPt. Source: Alexandria via LeMat-Bulk, functional PBE.

Computed properties:
DOS at the Fermi energy = 1.425 states/eV/atom
formation enthalpy at 0 K = 4.8 eV/f.u.
M_tot = 1.59 Bohr magnetons per cell

Structure (POSCAR):
```
K4ScPt
1.0
6.077 -0.949 -3.011
3.288 -5.963 0.728
0.555 -4.276 -5.320
K Pt Sc
4 1 1
Direct
0.377 0.868 0.377 K
0.377 0.377 0.377 K
0.377 0.377 0.868 K
0.868 0.377 0.377 K
0.750 0.750 0.750 Pt
0.000 0.000 0.000 Sc
```

=====

Record 2
A relaxed structure of K3ScPt. Source: Alexandria via LeMat-Bulk, functional PBE.

Computed properties:
DOS at the Fermi energy = 3.539 states/eV/atom
formation enthalpy at 0 K = 6.5 eV/f.u.
M_tot = 2.00 Bohr magnetons per cell

Structure (POSCAR):
```
K3ScPt
1.0
-3.636 4.333 2.992
2.772 -1.517 5.565
4.477 4.458 -1.015
K Sc Pt
3 1 1
Direct
0.000 0.000 0.500 K
0.000 0.500 0.000 K
0.500 0.000 0.000 K
0.000 0.000 0.000 Sc
0.500 0.500 0.500 Pt
```